[1]
LiSc4 | PBE-GGA | optimized geometry

```
LiSc4
1.0
4.9741 0.0000 0.0000
0.0000 4.9741 0.0000
0.0000 0.0000 4.9741
Li Sc
1 4
Direct
0.0000 0.0000 0.0000
0.0000 0.0000 0.5000
0.0000 0.5000 0.0000
0.5000 0.0000 0.0000
0.5000 0.5000 0.5000
```

Computed properties:
crystal system = cubic
symmetry = Pm-3m, No. 221
excess energy over the best structure of this formula in the dataset = 0 kJ/mol of formula units
D(E_F) = 9.939 states/eV/f.u.
E = -4.9302 eV/atom
formation enthalpy at 0 K = 2.59 eV/f.u.



[2]
LiSc3 | PBE-GGA | optimized geometry

```
LiSc3
1.0
4.5385 0.0000 0.0000
0.0000 4.5385 0.0000
0.0000 0.0000 4.5385
Li Sc
1 3
Direct
0.0000 0.0000 0.0000
0.0000 0.5000 0.5000
0.5000 0.0000 0.5000
0.5000 0.5000 0.0000
```

Computed properties:
crystal system = cubic
symmetry = Pm-3m, No. 221
excess energy over the best structure of this formula in the dataset = 46 kJ/mol of formula units
D(E_F) = 8.158 states/eV/f.u.
E = -5.0110 eV/atom
formation enthalpy at 0 K = 0.86 eV/f.u.



[3]
Li2Sc | PBE-GGA | optimized geometry

```
Li2Sc
1.0
-1.7246 1.7246 5.1134
1.7246 -1.7246 5.1134
1.7246 1.7246 -5.1134
Li Sc
2 1
Direct
0.1846 0.1846 0.0000
0.8154 0.8154 0.0000
0.5000 0.5000 0.0000
```

Computed properties:
crystal system = tetragonal
symmetry = I4/mmm, No. 139
excess energy over the best structure of this formula in the dataset = 12 kJ/mol of formula units
D(E_F) = 2.213 states/eV/f.u.
E = -3.2132 eV/atom
formation enthalpy at 0 K = 0.52 eV/f.u.



[4]
LiSc5 | PBE-GGA | optimized geometry

```
LiSc5
1.0
2.5375 -8.0424 0.0000
2.5375 8.0424 0.0000
0.0000 0.0000 3.4176
Li Sc
1 5
Direct
0.0000 0.0000 0.0000
0.1431 0.8569 0.5000
0.3133 0.6867 0.0000
0.5000 0.5000 0.5000
0.6867 0.3133 0.0000
0.8569 0.1431 0.5000
```

Computed properties:
crystal system = orthorhombic
symmetry = Cmmm, No. 65
excess energy over the best structure of this formula in the dataset = 0 kJ/mol of formula units
D(E_F) = 10.100 states/eV/f.u.
E = -5.5144 eV/atom
formation enthalpy at 0 K = 0.49 eV/f.u.



[5]
LiSc3 | PBE-GGA | optimized geometry

```
LiSc3
1.0
3.2838 -4.2330 0.0000
3.2838 4.2330 0.0000
0.0000 0.0000 3.3527
Li Sc
1 3
Direct
0.0000 0.0000 0.0000
0.0000 0.5000 0.5000
0.5000 0.0000 0.5000
0.5000 0.5000 0.0000
```

Computed properties:
crystal system = orthorhombic
symmetry = Cmmm, No. 65
excess energy over the best structure of this formula in the dataset = 27 kJ/mol of formula units
D(E_F) = 6.726 states/eV/f.u.
E = -5.0580 eV/atom
formation enthalpy at 0 K = 0.68 eV/f.u.



[6]
Li2Sc | PBE-GGA | optimized geometry

```
Li2Sc
1.0
-3.3087 3.3087 2.9930
3.3087 -3.3087 2.9930
3.3087 3.3087 -2.9930
Li Sc
4 2
Direct
0.1341 0.6341 0.7682
0.3659 0.1341 0.5000
0.6341 0.8659 0.5000
0.8659 0.3659 0.2318
0.2500 0.2500 0.0000
0.7500 0.7500 0.0000
```

Computed properties:
crystal system = tetragonal
symmetry = I4/mcm, No. 140
excess energy over the best structure of this formula in the dataset = 68 kJ/mol of formula units
D(E_F) = 2.442 states/eV/f.u.
E = -3.0201 eV/atom
formation enthalpy at 0 K = 1.10 eV/f.u.